Entry 1:
Density functional theory data (GGA-PBE) for a relaxed SrHF crystal.

The magnetization comes out at 0.000 μB/atom. Its excess energy over the best structure of this formula in the dataset is 97.9 meV/atom. As for the symmetry: I4/mmm, No. 139.

Cell: 4.082 4.082 6.857 Å, 72.68 72.70 90.00°
Fractional positions:
F: 0.154 0.595 0.609
F: 0.654 0.095 0.609
H: 0.904 0.344 0.108
Sr: 0.271 0.212 0.374
H: 0.404 0.844 0.108
Sr: 0.537 0.477 0.843



Entry 2:
Density functional theory data (GGA-PBE) for a relaxed SrHF crystal.

The magnetization comes out at 0.016 μB/atom. Its excess energy over the best structure of this formula in the dataset is 177.4 meV/atom. As for the symmetry: P3m1, No. 156.

Cell: 4.663 3.935 3.935 Å, 120.00 90.00 90.00°
Fractional positions:
F: 0.799 0.667 0.333
H: 0.212 0.333 0.667
Sr: 0.989 0.000 0.000